(1)
A plane-wave DFT calculation with GGA-PBE was carried out for a geometry-optimized TbPu3Tc2 structure.

Output
total energy: -11.365 eV/atom
formation energy from the elements: 0.03 eV per atom
space group: No. 63

```
TbPu3Tc2
1.0
-1.9632 4.0767 3.5358
-3.5028 -4.6972 3.4727
6.0800 0.2773 3.0578
Tb Pu Tc
2 6 4
direct
0.2500 0.3720 0.3720
0.7500 0.6280 0.6280
0.7500 0.4099 0.0774
0.7500 0.0774 0.4099
0.2500 0.5901 0.9226
0.7499 0.0329 0.0329
0.2501 0.9671 0.9671
0.2500 0.9226 0.5901
0.5000 0.7357 0.2643
0.0000 0.7358 0.2642
0.0000 0.2642 0.7358
0.5000 0.2643 0.7357
```

***

(2)
A plane-wave DFT calculation with GGA-PBE was carried out for a geometry-optimized TbPu2Te4 structure.

Output
total energy: -7.677 eV/atom
space group: No. 63
excess energy over the best structure of this formula in the dataset: 5 meV per atom
E_form (uncorrected): -7.88 eV/f.u.

```
TbPu2Te4
1.0
-3.5112 -0.9102 -2.2814
1.0525 -5.7842 4.7120
-8.5553 6.9203 10.4060
Tb Pu Te
2 4 8
direct
0.6208 0.2416 0.7500
0.3792 0.7584 0.2500
0.1350 0.2700 0.4320
0.8650 0.7300 0.9320
0.1350 0.2700 0.0680
0.8650 0.7300 0.5680
0.7804 0.5607 0.1257
0.7804 0.5607 0.3743
0.2196 0.4393 0.8743
0.2196 0.4393 0.6257
0.9661 0.9322 0.7500
0.0339 0.0678 0.2500
0.5000 0.0000 0.0000
0.5000 0.0000 0.5000
```

***

(3)
A plane-wave DFT calculation with GGA-PBE was carried out for a geometry-optimized Tb6PuTe8 structure.

Output
total energy: -5.819 eV/atom
space group: No. 225
E_form (uncorrected): -20.04 eV/f.u.

```
Tb6PuTe8
1.0
7.5572 0.0000 4.3631
2.5191 7.1250 4.3631
0.0000 0.0000 8.7263
Tb Pu Te
6 1 8
direct
0.0000 0.5000 0.5000
0.5000 0.0000 0.0000
0.5000 0.5000 0.0000
0.0000 0.0000 0.5000
0.0000 0.5000 0.0000
0.5000 0.0000 0.5000
0.0000 0.0000 0.0000
0.7500 0.7500 0.7500
0.2500 0.2500 0.2500
0.7422 0.2578 0.2578
0.2578 0.7422 0.7422
0.2578 0.2578 0.7422
0.7422 0.7422 0.2578
0.7422 0.2578 0.7422
0.2578 0.7422 0.2578
```

***

(4)
A plane-wave DFT calculation with GGA-PBE was carried out for a geometry-optimized TbPu6Te8 structure.

Output
total energy: -8.863 eV/atom
space group: No. 225
E_form (uncorrected): -17.18 eV/f.u.

```
TbPu6Te8
1.0
-5.7520 -6.7218 -0.4862
-1.0859 -5.4117 6.9310
-7.5168 0.2539 4.6838
Tb Pu Te
1 6 8
direct
0.0000 0.0000 0.0000
0.0000 0.5000 0.5000
0.5000 0.0000 0.0000
0.5000 0.5000 0.0000
0.0000 0.0000 0.5000
0.0000 0.5000 0.0000
0.5000 0.0000 0.5000
0.7500 0.7500 0.7500
0.2500 0.2500 0.2500
0.7496 0.2504 0.2504
0.2504 0.7496 0.7496
0.2504 0.2504 0.7496
0.7496 0.7496 0.2504
0.7496 0.2504 0.7496
0.2504 0.7496 0.2504
```